Record 1
# GGA-PBE LaSb3Mo, optimized geometry
data_LaSb3Mo
_cell_length_a 5.2802
_cell_length_b 5.2802
_cell_length_c 5.2802
_cell_angle_alpha 90.00
_cell_angle_beta 90.00
_cell_angle_gamma 90.00
_space_group_name_H-M_alt 'P m -3 m'
_space_group_IT_number 221
_space_group_name_Hall '-P 4 2 3'
loop_
_atom_site_label
_atom_site_type_symbol
_atom_site_fract_x
_atom_site_fract_y
_atom_site_fract_z
La1 La 0.0000 0.0000 0.0000
Sb1 Sb 0.0000 0.5000 0.5000
Mo1 Mo 0.5000 0.5000 0.5000
# - Uncorrected formation energy: 0.03 eV per atom
# - ΔE to the lowest computed polymorph: 0 meV per atom
# - M_tot: 0.00 μB/f.u.

Record 2
# GGA-PBE ZrAg2Se, optimized geometry
data_ZrAg2Se
_cell_length_a 2.9613
_cell_length_b 2.9613
_cell_length_c 9.2098
_cell_angle_alpha 90.00
_cell_angle_beta 90.00
_cell_angle_gamma 90.00
_space_group_name_H-M_alt 'P 4/m m m'
_space_group_IT_number 123
_space_group_name_Hall '-P 4 2'
loop_
_atom_site_label
_atom_site_type_symbol
_atom_site_fract_x
_atom_site_fract_y
_atom_site_fract_z
Zr1 Zr 0.0000 0.0000 0.0000
Ag1 Ag 0.5000 0.5000 0.2441
Se1 Se 0.0000 0.0000 0.5000
# - Uncorrected formation energy: 0.04 eV per atom
# - M_tot: 0.00 μB/f.u.

Record 3
# GGA-PBE SiB2PC, optimized geometry
data_SiB2PC
_cell_length_a 3.7794
_cell_length_b 3.9083
_cell_length_c 4.0950
_cell_angle_alpha 99.38
_cell_angle_beta 98.09
_cell_angle_gamma 104.29
_space_group_name_H-M_alt 'P 1'
_space_group_IT_number 1
loop_
_space_group_symop_operation_xyz
'x,y,z'
loop_
_atom_site_label
_atom_site_type_symbol
_atom_site_fract_x
_atom_site_fract_y
_atom_site_fract_z
Si1 Si 0.0000 0.0000 0.0000
B1 B 0.1896 0.6106 0.1972
B2 B 0.7176 0.3430 0.2060
P1 P 0.5382 0.5725 0.5854
C1 C 0.3838 0.3839 0.9300
# - Uncorrected formation energy: 0.38 eV per atom
# - ΔE to the lowest computed polymorph: 264 meV per atom
# - M_tot: 0.00 μB/f.u.

Record 4
# GGA-PBE Rb3PaSe4, optimized geometry
data_Rb3PaSe4
_cell_length_a 9.6599
_cell_length_b 13.5238
_cell_length_c 4.4522
_cell_angle_alpha 90.00
_cell_angle_beta 90.00
_cell_angle_gamma 90.00
_space_group_name_H-M_alt 'C m m m'
_space_group_IT_number 65
_space_group_name_Hall '-C 2 2'
loop_
_atom_site_label
_atom_site_type_symbol
_atom_site_fract_x
_atom_site_fract_y
_atom_site_fract_z
Rb1 Rb 0.0000 0.0000 0.0000
Rb2 Rb 0.2500 0.2500 0.5000
Pa1 Pa 0.0000 0.5000 0.0000
Se1 Se 0.0000 0.3009 0.0000
Se2 Se 0.1948 0.5000 0.5000
# - Uncorrected formation energy: -1.34 eV per atom
# - ΔE to the lowest computed polymorph: 0 meV per atom
# - M_tot: 0.00 μB/f.u.

Record 5
# GGA-PBE Ac8P3Se4S, optimized geometry
data_Ac8P3Se4S
_cell_length_a 8.8369
_cell_length_b 8.8369
_cell_length_c 21.9986
_cell_angle_alpha 90.00
_cell_angle_beta 90.00
_cell_angle_gamma 120.00
_space_group_name_H-M_alt 'R -3 m'
_space_group_IT_number 166
_space_group_name_Hall '-R 3 2"'
loop_
_atom_site_label
_atom_site_type_symbol
_atom_site_fract_x
_atom_site_fract_y
_atom_site_fract_z
Ac1 Ac 0.0000 0.0000 0.2441
Ac2 Ac 0.0029 0.5014 0.7557
P1 P 0.0000 0.5000 0.5000
Se1 Se 0.0000 0.0000 0.0000
Se2 Se 0.0000 0.5000 0.0000
S1 S 0.0000 0.0000 0.5000
# - Uncorrected formation energy: -1.80 eV per atom
# - M_tot: 0.00 μB/f.u.

Record 6
# GGA-PBE CaNd3Rh3, optimized geometry
data_CaNd3Rh3
_cell_length_a 9.4338
_cell_length_b 10.6123
_cell_length_c 7.0706
_cell_angle_alpha 90.00
_cell_angle_beta 90.07
_cell_angle_gamma 90.00
_space_group_name_H-M_alt 'C 1 2/m 1'
_space_group_IT_number 12
loop_
_space_group_symop_operation_xyz
'x,y,z'
'-x,-y,-z'
'-x,y,-z'
'x,-y,z'
'x+1/2,y+1/2,z'
'-x+1/2,-y+1/2,-z'
'-x+1/2,y+1/2,-z'
'x+1/2,-y+1/2,z'
loop_
_atom_site_label
_atom_site_type_symbol
_atom_site_fract_x
_atom_site_fract_y
_atom_site_fract_z
Ca1 Ca 0.2450 0.0000 0.1188
Nd1 Nd 0.0000 0.2584 0.0000
Nd2 Nd 0.0000 0.3181 0.5000
Nd3 Nd 0.1751 0.0000 0.6218
Rh1 Rh 0.0562 0.5000 0.2042
Rh2 Rh 0.2498 0.2417 0.7363
# - E_form: -0.50 eV per atom
# - M_tot: 0.00 μB/f.u.

Record 7
# GGA-PBE Dy8Tl2Rh, optimized geometry
data_Dy8Tl2Rh
_cell_length_a 18.4771
_cell_length_b 5.2657
_cell_length_c 6.7482
_cell_angle_alpha 90.00
_cell_angle_beta 108.75
_cell_angle_gamma 90.00
_space_group_name_H-M_alt 'C 1 2/m 1'
_space_group_IT_number 12
loop_
_space_group_symop_operation_xyz
'x,y,z'
'-x,-y,-z'
'-x,y,-z'
'x,-y,z'
'x+1/2,y+1/2,z'
'-x+1/2,-y+1/2,-z'
'-x+1/2,y+1/2,-z'
'x+1/2,-y+1/2,z'
loop_
_atom_site_label
_atom_site_type_symbol
_atom_site_fract_x
_atom_site_fract_y
_atom_site_fract_z
Dy1 Dy 0.0181 0.0000 0.2447
Dy2 Dy 0.0913 0.5000 0.7426
Dy3 Dy 0.1496 0.5000 0.3049
Dy4 Dy 0.2071 0.0000 0.0851
Tl1 Tl 0.1715 0.0000 0.6055
Rh1 Rh 0.0000 0.5000 0.0000
# - E_form: -0.27 eV per atom
# - M_tot: 0.00 μB/f.u.

Record 8
# GGA-PBE CrWAu, optimized geometry
data_CrWAu
_cell_length_a 3.1895
_cell_length_b 4.4396
_cell_length_c 13.1587
_cell_angle_alpha 90.00
_cell_angle_beta 90.00
_cell_angle_gamma 90.00
_space_group_name_H-M_alt 'F m m 2'
_space_group_IT_number 42
_space_group_name_Hall 'F 2 -2'
loop_
_atom_site_label
_atom_site_type_symbol
_atom_site_fract_x
_atom_site_fract_y
_atom_site_fract_z
Cr1 Cr 0.0000 0.0000 0.0000
W1 W 0.0000 0.0000 0.3535
Au1 Au 0.0000 0.0000 0.6704
# - E_form: 0.37 eV per atom
# - ΔE to the lowest computed polymorph: 0 meV per atom
# - M_tot: 0.00 μB/f.u.

Record 9
# GGA-PBE PuMg2Tl4, optimized geometry
data_PuMg2Tl4
_cell_length_a 7.1276
_cell_length_b 7.1276
_cell_length_c 7.8997
_cell_angle_alpha 90.00
_cell_angle_beta 90.00
_cell_angle_gamma 90.00
_space_group_name_H-M_alt 'I 4/m m m'
_space_group_IT_number 139
_space_group_name_Hall '-I 4 2'
loop_
_atom_site_label
_atom_site_type_symbol
_atom_site_fract_x
_atom_site_fract_y
_atom_site_fract_z
Pu1 Pu 0.0000 0.0000 0.0000
Mg1 Mg 0.0000 0.5000 0.0000
Tl1 Tl 0.2500 0.2500 0.2500
# - E_form: 0.03 eV per atom
# - M_tot: 6.54 μB/f.u.

Record 10
# GGA-PBE HfMg, optimized geometry
data_HfMg
_cell_length_a 8.1033
_cell_length_b 8.1033
_cell_length_c 8.1033
_cell_angle_alpha 90.00
_cell_angle_beta 90.00
_cell_angle_gamma 90.00
_space_group_name_H-M_alt 'P m -3 n'
_space_group_IT_number 223
_space_group_name_Hall '-P 4n 2 3'
loop_
_atom_site_label
_atom_site_type_symbol
_atom_site_fract_x
_atom_site_fract_y
_atom_site_fract_z
Hf1 Hf 0.0000 0.2500 0.5000
Mg1 Mg 0.0000 0.5000 0.2500
# - E_form: 2.28 eV per atom
# - M_tot: 0.88 μB/f.u.

Record 11
# GGA-PBE La2HgH, optimized geometry
data_La2HgH
_cell_length_a 7.3004
_cell_length_b 7.3004
_cell_length_c 7.6529
_cell_angle_alpha 90.00
_cell_angle_beta 90.00
_cell_angle_gamma 90.00
_space_group_name_H-M_alt 'I -4 2 d'
_space_group_IT_number 122
_space_group_name_Hall 'I -4 2bw'
loop_
_atom_site_label
_atom_site_type_symbol
_atom_site_fract_x
_atom_site_fract_y
_atom_site_fract_z
La1 La 0.1625 0.2500 0.1250
Hg1 Hg 0.0000 0.0000 0.5000
H1 H 0.0000 0.0000 0.0000
# - ΔE to the lowest computed polymorph: 37 meV per atom
# - M_tot: 0.00 μB/f.u.

Record 12
# GGA-PBE TcAs2Rh2, optimized geometry
data_TcAs2Rh2
_cell_length_a 7.0431
_cell_length_b 7.0431
_cell_length_c 3.0369
_cell_angle_alpha 90.00
_cell_angle_beta 90.00
_cell_angle_gamma 90.00
_space_group_name_H-M_alt 'P 4/m b m'
_space_group_IT_number 127
_space_group_name_Hall '-P 4 2ab'
loop_
_atom_site_label
_atom_site_type_symbol
_atom_site_fract_x
_atom_site_fract_y
_atom_site_fract_z
Tc1 Tc 0.0000 0.0000 0.0000
As1 As 0.1575 0.3425 0.0000
Rh1 Rh 0.1454 0.6454 0.5000
# - E_form: -0.02 eV per atom
# - M_tot: 0.00 μB/f.u.

Record 13
# GGA-PBE Tb6NiTe3, optimized geometry
data_Tb6NiTe3
_cell_length_a 11.3070
_cell_length_b 14.7812
_cell_length_c 7.1757
_cell_angle_alpha 90.00
_cell_angle_beta 90.00
_cell_angle_gamma 90.00
_space_group_name_H-M_alt 'C m c 21'
_space_group_IT_number 36
loop_
_space_group_symop_operation_xyz
'x,y,z'
'-x,-y,z+1/2'
'-x,y,z'
'x,-y,z+1/2'
'x+1/2,y+1/2,z'
'-x+1/2,-y+1/2,z+1/2'
'-x+1/2,y+1/2,z'
'x+1/2,-y+1/2,z+1/2'
loop_
_atom_site_label
_atom_site_type_symbol
_atom_site_fract_x
_atom_site_fract_y
_atom_site_fract_z
Tb1 Tb 0.0000 0.0074 0.0000
Tb2 Tb 0.0000 0.2384 0.5578
Tb3 Tb 0.1590 0.2538 0.0655
Tb4 Tb 0.1671 0.4485 0.5927
Ni1 Ni 0.0000 0.1457 0.2470
Te1 Te 0.0000 0.4094 0.9119
Te2 Te 0.1856 0.1021 0.7539
# - Uncorrected formation energy: -0.69 eV per atom
# - M_tot: 0.00 μB/f.u.

Record 14
# GGA-PBE AcNd2Al2Zn2, optimized geometry
data_AcNd2Al2Zn2
_cell_length_a 4.6138
_cell_length_b 4.6138
_cell_length_c 29.7791
_cell_angle_alpha 90.00
_cell_angle_beta 90.00
_cell_angle_gamma 120.00
_space_group_name_H-M_alt 'R -3 m'
_space_group_IT_number 166
_space_group_name_Hall '-R 3 2"'
loop_
_atom_site_label
_atom_site_type_symbol
_atom_site_fract_x
_atom_site_fract_y
_atom_site_fract_z
Ac1 Ac 0.0000 0.0000 0.0000
Nd1 Nd 0.0000 0.0000 0.1313
Al1 Al 0.0000 0.0000 0.2569
Zn1 Zn 0.0000 0.0000 0.4109
# - E_form: -0.29 eV per atom
# - M_tot: 0.00 μB/f.u.

Record 15
# GGA-PBE Ac2CuIr, optimized geometry
data_Ac2CuIr
_cell_length_a 7.4926
_cell_length_b 7.4926
_cell_length_c 7.4926
_cell_angle_alpha 90.00
_cell_angle_beta 90.00
_cell_angle_gamma 90.00
_space_group_name_H-M_alt 'F m -3 m'
_space_group_IT_number 225
_space_group_name_Hall '-F 4 2 3'
loop_
_atom_site_label
_atom_site_type_symbol
_atom_site_fract_x
_atom_site_fract_y
_atom_site_fract_z
Ac1 Ac 0.2500 0.2500 0.2500
Cu1 Cu 0.0000 0.0000 0.0000
Ir1 Ir 0.0000 0.0000 0.5000
# - E_form: -0.31 eV per atom
# - ΔE to the lowest computed polymorph: 138 meV per atom
# - M_tot: 0.00 μB/f.u.

Record 16
# GGA-PBE Pm5ZnSn8, optimized geometry
data_Pm5ZnSn8
_cell_length_a 9.5812
_cell_length_b 9.5812
_cell_length_c 8.7005
_cell_angle_alpha 90.00
_cell_angle_beta 90.00
_cell_angle_gamma 90.00
_space_group_name_H-M_alt 'I -4'
_space_group_IT_number 82
loop_
_space_group_symop_operation_xyz
'x,y,z'
'y,-x,-z'
'-x,-y,z'
'-y,x,-z'
'x+1/2,y+1/2,z+1/2'
'y+1/2,-x+1/2,-z+1/2'
'-x+1/2,-y+1/2,z+1/2'
'-y+1/2,x+1/2,-z+1/2'
loop_
_atom_site_label
_atom_site_type_symbol
_atom_site_fract_x
_atom_site_fract_y
_atom_site_fract_z
Pm1 Pm 0.0000 0.0000 0.0000
Pm2 Pm 0.1238 0.2807 0.6456
Zn1 Zn 0.0000 0.5000 0.2500
Sn1 Sn 0.0607 0.1589 0.3125
Sn2 Sn 0.0863 0.3273 0.0088
# - E_form: -0.44 eV per atom
# - M_tot: 0.00 μB/f.u.

Record 17
# GGA-PBE LiNdInCu, optimized geometry
data_LiNdInCu
_cell_length_a 6.8460
_cell_length_b 6.8460
_cell_length_c 6.8460
_cell_angle_alpha 90.00
_cell_angle_beta 90.00
_cell_angle_gamma 90.00
_space_group_name_H-M_alt 'F -4 3 m'
_space_group_IT_number 216
_space_group_name_Hall 'F -4 2 3'
loop_
_atom_site_label
_atom_site_type_symbol
_atom_site_fract_x
_atom_site_fract_y
_atom_site_fract_z
Li1 Li 0.0000 0.0000 0.0000
Nd1 Nd 0.2500 0.2500 0.2500
In1 In 0.2500 0.2500 0.7500
Cu1 Cu 0.0000 0.0000 0.5000
# - E_form: -0.35 eV per atom
# - M_tot: 0.00 μB/f.u.

Record 18
# GGA-PBE Er2InH, optimized geometry
data_Er2InH
_cell_length_a 6.7309
_cell_length_b 4.8067
_cell_length_c 10.2369
_cell_angle_alpha 90.00
_cell_angle_beta 90.00
_cell_angle_gamma 90.00
_space_group_name_H-M_alt 'P n m a'
_space_group_IT_number 62
loop_
_space_group_symop_operation_xyz
'x,y,z'
'-x,-y,-z'
'-x+1/2,-y,z+1/2'
'x+1/2,y,-z+1/2'
'x+1/2,-y+1/2,-z+1/2'
'-x+1/2,y+1/2,z+1/2'
'-x,y+1/2,-z'
'x,-y+1/2,z'
loop_
_atom_site_label
_atom_site_type_symbol
_atom_site_fract_x
_atom_site_fract_y
_atom_site_fract_z
Er1 Er 0.0774 0.2500 0.2055
Er2 Er 0.1564 0.2500 0.5472
In1 In 0.1939 0.2500 0.8638
H1 H 0.1026 0.7500 0.6128
# - ΔE to the lowest computed polymorph: 7 meV per atom
# - M_tot: 0.01 μB/f.u.

Record 19
# GGA-PBE RuRhSeN2, optimized geometry
data_RuRhSeN2
_cell_length_a 3.7109
_cell_length_b 3.7109
_cell_length_c 6.0995
_cell_angle_alpha 90.00
_cell_angle_beta 90.00
_cell_angle_gamma 90.00
_space_group_name_H-M_alt 'P 4/m m m'
_space_group_IT_number 123
_space_group_name_Hall '-P 4 2'
loop_
_atom_site_label
_atom_site_type_symbol
_atom_site_fract_x
_atom_site_fract_y
_atom_site_fract_z
Ru1 Ru 0.0000 0.0000 0.0000
Rh1 Rh 0.5000 0.5000 0.5000
Se1 Se 0.5000 0.5000 0.0000
N1 N 0.0000 0.5000 0.5000
# - Uncorrected formation energy: 1.38 eV per atom
# - ΔE to the lowest computed polymorph: 442 meV per atom
# - M_tot: 2.37 μB/f.u.

Record 20
# GGA-PBE VNiMoPt, optimized geometry
data_VNiMoPt
_cell_length_a 6.0527
_cell_length_b 6.0527
_cell_length_c 6.0527
_cell_angle_alpha 90.00
_cell_angle_beta 90.00
_cell_angle_gamma 90.00
_space_group_name_H-M_alt 'F -4 3 m'
_space_group_IT_number 216
_space_group_name_Hall 'F -4 2 3'
loop_
_atom_site_label
_atom_site_type_symbol
_atom_site_fract_x
_atom_site_fract_y
_atom_site_fract_z
V1 V 0.0000 0.0000 0.0000
Ni1 Ni 0.0000 0.0000 0.5000
Mo1 Mo 0.2500 0.2500 0.7500
Pt1 Pt 0.2500 0.2500 0.2500
# - E_form: -0.16 eV per atom
# - ΔE to the lowest computed polymorph: 130 meV per atom
# - M_tot: 0.00 μB/f.u.